Record 1
10
Lattice="-1.182 -3.695 -8.862 9.586 -0.961 -0.878 -0.205 -3.343 1.421" Properties=species:S:1:pos:R:3 comment="Rb2LiSe2, optimized geometry, DFT PBE-GGA" raw_formation_energy_mev_per_atom=-552.3 e_above_lowest_polymorph_mev_per_atom=224 space_group=P4/mbm magnetic_moment_mub_per_atom=0.0000 dos_ef_per_ev_fu=1.0 pbc="T T T"
Rb 7.961 -2.236 -4.111
Li 4.202 -2.328 -4.870
Se 6.983 -4.965 -6.013
Rb 4.936 -3.839 -8.319
Rb 0.443 -2.420 -5.629
Li 0.000 0.000 0.000
Se 2.019 -5.022 -6.863
Se 1.215 -3.034 -2.305
Se 6.180 -2.977 -1.455
Rb 3.468 -0.817 -1.421


Record 2
18
Lattice="5.423 0.000 0.000 -2.712 4.697 0.000 0.000 0.000 9.973" Properties=species:S:1:pos:R:3 comment="PuMgBiO6, optimized geometry, DFT PBE-GGA" raw_formation_energy_mev_per_atom=-2098.8 space_group=P-31c magnetic_moment_mub_per_atom=0.1101 pbc="T T T"
Mg 0.000 3.131 2.493
Bi 0.000 0.000 0.000
O 3.623 2.990 3.598
O 1.689 3.054 6.375
O 3.489 0.064 3.598
O 0.778 4.632 8.584
Pu 2.712 1.566 2.493
O 1.800 2.990 1.388
O 0.911 1.707 8.584
Mg 2.712 1.566 7.480
O -1.689 3.054 8.584
O 1.022 1.643 3.598
O 1.934 0.064 1.388
O -0.778 4.632 6.375
Bi 0.000 0.000 4.986
O -0.911 1.707 6.375
Pu 0.000 3.131 7.480
O 4.401 1.643 1.388